# K3PuBr8 (PBE, relaxed)
# Uncorrected formation energy, eV/atom: -1.366
# Crystal system: orthorhombic
# Uncorrected energy, eV/atom: -3.9501
# Size of the total moment, μB/f.u.: 4.12
data_K3PuBr8
_cell_length_a 7.959
_cell_length_b 7.959
_cell_length_c 10.034
_cell_angle_alpha 90.00
_cell_angle_beta 90.00
_cell_angle_gamma 120.68
_symmetry_space_group_name_H-M 'P 1'
_symmetry_Int_Tables_number 1
_symmetry_space_group_name_Hall 'P 1'
loop_
_atom_site_label
_atom_site_fract_x
_atom_site_fract_y
_atom_site_fract_z
K1 0.000 0.500 0.248
K2 0.500 0.500 0.000
K3 0.500 0.000 0.752
Pu1 0.500 0.500 0.500
Br1 0.698 0.302 0.500
Br2 0.735 0.265 0.000
Br3 0.739 0.744 0.697
Br4 0.744 0.739 0.303
Br5 0.256 0.261 0.303
Br6 0.261 0.256 0.697
Br7 0.265 0.735 0.000
Br8 0.302 0.698 0.500